! KHfTlH2 (PBE-GGA, optimized geometry); values from VASP
&SYSTEM
  ibrav = 0, nat = 5, ntyp = 4
/
ATOMIC_SPECIES
H 1.01 H.upf
Hf 178.49 Hf.upf
Tl 204.38 Tl.upf
K 39.10 K.upf
ATOMIC_POSITIONS crystal
H 0.000 0.000 0.500
H 0.500 0.000 0.000
Hf 0.500 0.500 0.500
Tl 0.000 0.000 0.000
K 0.000 0.500 0.000
CELL_PARAMETERS angstrom
4.475 0.000 0.000
0.000 6.291 0.000
0.000 0.000 4.475
! DFT total energy in eV/atom: -2.5058